VASP calculation (PBE) on a geometry-optimized YTmSn structure.

Results
Energy relative to the elements, eV/atom: -0.54
DOS(E_F), states/eV/atom: 0.57
Crystal system: orthorhombic
V, Å³ per cell: 329.43
Uncorrected energy, eV/atom: -5.523

```
data_YTmSn
_chemical_formula_sum 'Y4 Tm4 Sn4'
_space_group_name_H-M_alt 'P 1'
_space_group_IT_number 1
_cell_length_a 15.966
_cell_length_b 4.793
_cell_length_c 4.305
_cell_angle_alpha 90.00
_cell_angle_beta 90.00
_cell_angle_gamma 90.00
loop_
_space_group_symop_operation_xyz
'x,y,z'
loop_
_atom_site_label
_atom_site_type_symbol
_atom_site_fract_x
_atom_site_fract_y
_atom_site_fract_z
_atom_site_occupancy
Y1 Y 0.076 0.250 0.002 1
Y2 Y 0.424 0.750 0.502 1
Y3 Y 0.576 0.250 0.498 1
Y4 Y 0.924 0.750 0.998 1
Tm1 Tm 0.249 0.750 0.002 1
Tm2 Tm 0.251 0.250 0.502 1
Tm3 Tm 0.749 0.750 0.498 1
Tm4 Tm 0.751 0.250 0.998 1
Sn1 Sn 0.101 0.750 0.501 1
Sn2 Sn 0.399 0.250 0.001 1
Sn3 Sn 0.601 0.750 0.999 1
Sn4 Sn 0.899 0.250 0.499 1
```